# 1
8
Lattice="-6.2820 6.2820 2.4324 6.2820 -6.2820 2.4324 6.2820 6.2820 -2.4324" Properties=species:S:1:pos:R:3 comment="GGA-PBE Cs2GaRu, optimized geometry" ef_ev_per_atom=0.558 pbc="T T T"
Cs 3.1410 0.0000 0.6081
Cs 9.4230 0.0000 0.6081
Cs 6.2820 -3.1410 1.8243
Cs 6.2820 3.1410 1.8243
Ga 0.0000 6.2820 1.2162
Ga 0.0000 0.0000 2.4324
Ru 6.2820 0.0000 1.2162
Ru 0.0000 0.0000 0.0000


# 2
10
Lattice="3.4237 0.0000 0.0000 0.0000 3.4237 0.0000 0.0000 0.0000 18.4598" Properties=species:S:1:pos:R:3 comment="GGA-PBE Tb5TlRu4, optimized geometry" ef_ev_per_atom=-0.342 pbc="T T T"
Tb 1.7118 1.7118 9.2299
Tb 1.7118 1.7118 16.0096
Tb 1.7118 1.7118 2.4501
Tb 1.7118 1.7118 12.6180
Tb 1.7118 1.7118 5.8417
Ru 0.0000 0.0000 10.9437
Ru 0.0000 0.0000 4.0436
Ru 0.0000 0.0000 7.5161
Ru 0.0000 0.0000 14.4161
Tl 0.0000 0.0000 0.0000


# 3
3
Lattice="-2.8483 5.7041 0.8454 -5.5983 3.0487 -0.8540 3.6110 -4.9654 1.9157" Properties=species:S:1:pos:R:3 comment="GGA-PBE ZnAgAs, optimized geometry" ef_ev_per_atom=0.150 pbc="T T T"
Zn -5.6072 5.8105 -0.0057
As -2.7465 2.8460 -0.0028
Ag -0.0930 0.0963 -0.0001


# 4
4
Lattice="3.0799 0.0000 0.0000 0.0000 3.0799 0.0000 0.0000 0.0000 7.0081" Properties=species:S:1:pos:R:3 comment="GGA-PBE Re2SbMo, optimized geometry" formation_energy_uncorrected_ev_per_fu=1.4 pbc="T T T"
Re 1.5399 1.5399 1.6249
Re 0.0000 0.0000 0.0197
Mo 1.5399 1.5399 5.3739
Sb 0.0000 0.0000 3.4937